Here is a relaxed Sr2FeWO6 crystal from Alexandria. Energies are from GGA+U.

Lattice parameters (Å, degrees): 5.7760 5.7597 7.9630 89.86 90.00 90.01
Each line ends with the local moment (μB).
Fractional coordinates of all 20 atoms:
Sr1 0.9697 0.0056 0.7510  0.00
Sr2 0.4696 0.4944 0.7489  0.00
Sr3 0.5304 0.5056 0.2511  0.00
Sr4 0.0303 0.9944 0.2490  0.00
Fe1 0.0000 0.5000 0.5000  3.77
Fe2 0.5000 0.0000 0.0000  3.77
W1 0.0000 0.5000 0.0000  0.05
W2 0.5000 0.0000 0.5000  0.05
O1 0.7054 0.2653 0.5336  0.02
O2 0.2053 0.2346 0.9663  0.02
O3 0.2946 0.7347 0.4664  0.02
O4 0.7947 0.7654 0.0337  0.02
O5 0.7674 0.7970 0.4665  0.02
O6 0.2675 0.7030 0.0336  0.02
O7 0.2326 0.2030 0.5335  0.02
O8 0.7325 0.2970 0.9664  0.02
O9 0.5108 0.9351 0.7419  0.02
O10 0.0108 0.5649 0.7581  0.02
O11 0.4892 0.0649 0.2581  0.02
O12 0.9892 0.4351 0.2419  0.02

## Properties
DFT total energy in eV per cell: -140.47
Space group: P2_1/c, No. 14
D(E_F) in states/eV/f.u.: 0.00
Crystal system: monoclinic